Arrangement P

An optimized crystal structure of TaCr2RuN, computed with PBE.

Values from the calculation:
space-group type: No. 123

Cell lengths 3.839, 3.839, 4.227 Å; angles 90.00, 90.00, 90.00 degrees
Atoms (fractional coordinates):
Ta 0.000 0.000 0.000
Cr 0.000 0.500 0.500
Cr 0.500 0.000 0.500
Ru 0.500 0.500 0.000
N 0.000 0.000 0.500

***

Arrangement Q

An optimized crystal structure of TaCr2RuN, computed with PBE.

Values from the calculation:
space-group type: No. 123

Cell lengths 3.878, 3.878, 4.086 Å; angles 90.00, 90.00, 90.00 degrees
Atoms (fractional coordinates):
Ta 0.000 0.000 0.000
Cr 0.000 0.500 0.500
Cr 0.500 0.000 0.500
Ru 0.500 0.500 0.000
N 0.500 0.500 0.500

***

Which is most stable? The ranking, best first, is arrangement P, arrangement Q.

***

Arrangement P

An optimized crystal structure of CrTe2RuN, computed with PBE.

Values from the calculation:
space-group type: No. 123

Cell lengths 5.203, 5.203, 3.466 Å; angles 90.00, 90.00, 90.00 degrees
Atoms (fractional coordinates):
Cr 0.000 0.000 0.000
Te 0.000 0.500 0.000
Te 0.500 0.000 0.000
Ru 0.500 0.500 0.500
N 0.000 0.000 0.500

***

Arrangement Q

An optimized crystal structure of CrTe2RuN, computed with PBE.

Values from the calculation:
space-group type: No. 123

Cell lengths 5.370, 5.370, 3.618 Å; angles 90.00, 90.00, 90.00 degrees
Atoms (fractional coordinates):
Cr 0.000 0.000 0.000
Te 0.000 0.500 0.500
Te 0.500 0.000 0.500
Ru 0.500 0.500 0.500
N 0.500 0.500 0.000

***

Which is most stable? The ranking, best first, is arrangement P, arrangement Q.

***

Arrangement P

An optimized crystal structure of CrS3N, computed with PBE.

Values from the calculation:
space-group type: No. 221

Cell lengths 4.104, 4.104, 4.104 Å; angles 90.00, 90.00, 90.00 degrees
Atoms (fractional coordinates):
Cr 0.000 0.000 0.000
S 0.000 0.500 0.500
S 0.500 0.000 0.500
S 0.500 0.500 0.000
N 0.500 0.500 0.500

***

Arrangement Q

An optimized crystal structure of CrS3N, computed with PBE.

Values from the calculation:
space-group type: No. 221

Cell lengths 4.460, 4.460, 4.460 Å; angles 90.00, 90.00, 90.00 degrees
Atoms (fractional coordinates):
Cr 0.000 0.000 0.000
S 0.000 0.000 0.500
S 0.000 0.500 0.000
S 0.500 0.000 0.000
N 0.500 0.500 0.500

***

Which is most stable? The ranking, best first, is arrangement P, arrangement Q.

***

Arrangement P

An optimized crystal structure of Cr2S2N, computed with PBE.

Values from the calculation:
space-group type: No. 139

Cell lengths 4.810, 4.810, 4.810 Å; angles 122.40, 122.40, 85.88 degrees
Atoms (fractional coordinates):
Cr 0.250 0.750 0.500
Cr 0.750 0.250 0.500
S 0.189 0.189 0.000
S 0.811 0.811 0.000
N 0.500 0.500 0.000

***

Arrangement Q

An optimized crystal structure of Cr2S2N, computed with PBE.

Values from the calculation:
space-group type: No. 127

Cell lengths 6.630, 6.630, 2.949 Å; angles 90.00, 90.00, 90.00 degrees
Atoms (fractional coordinates):
Cr 0.149 0.351 0.000
Cr 0.351 0.851 0.000
Cr 0.649 0.149 0.000
Cr 0.851 0.649 0.000
S 0.145 0.645 0.500
S 0.355 0.145 0.500
S 0.645 0.855 0.500
S 0.855 0.355 0.500
N 0.000 0.000 0.500
N 0.500 0.500 0.500

***

Which is most stable? The ranking, best first, is arrangement P, arrangement Q.

***

Arrangement P

An optimized crystal structure of CrSeS2N, computed with PBE.

Values from the calculation:
space-group type: No. 123

Cell lengths 4.893, 4.893, 3.639 Å; angles 90.00, 90.00, 90.00 degrees
Atoms (fractional coordinates):
Cr 0.000 0.000 0.000
Se 0.500 0.500 0.500
S 0.000 0.500 0.500
S 0.500 0.000 0.500
N 0.500 0.500 0.000

***

Arrangement Q

An optimized crystal structure of CrSeS2N, computed with PBE.

Values from the calculation:
space-group type: No. 123

Cell lengths 4.670, 4.670, 3.543 Å; angles 90.00, 90.00, 90.00 degrees
Atoms (fractional coordinates):
Cr 0.000 0.000 0.000
Se 0.500 0.500 0.500
S 0.000 0.500 0.000
S 0.500 0.000 0.000
N 0.000 0.000 0.500

***

Which is most stable? The ranking, best first, is arrangement Q, arrangement P.

***

Arrangement P

An optimized crystal structure of CrSnS2N, computed with PBE.

Values from the calculation:
space-group type: No. 123

Cell lengths 4.855, 4.855, 3.594 Å; angles 90.00, 90.00, 90.00 degrees
Atoms (fractional coordinates):
Cr 0.000 0.000 0.000
Sn 0.500 0.500 0.500
S 0.000 0.500 0.000
S 0.500 0.000 0.000
N 0.000 0.000 0.500

***

Arrangement Q

An optimized crystal structure of CrSnS2N, computed with PBE.

Values from the calculation:
space-group type: No. 123

Cell lengths 5.066, 5.066, 4.004 Å; angles 90.00, 90.00, 90.00 degrees
Atoms (fractional coordinates):
Cr 0.000 0.000 0.000
Sn 0.500 0.500 0.500
S 0.000 0.500 0.500
S 0.500 0.000 0.500
N 0.500 0.500 0.000

***

Which is most stable? The ranking, best first, is arrangement P, arrangement Q.

***

Arrangement P

An optimized crystal structure of TaCrSN2, computed with PBE.

Values from the calculation:
space-group type: No. 123

Cell lengths 3.671, 3.671, 4.544 Å; angles 90.00, 90.00, 90.00 degrees
Atoms (fractional coordinates):
Ta 0.000 0.000 0.000
Cr 0.500 0.500 0.500
S 0.500 0.500 0.000
N 0.000 0.500 0.500
N 0.500 0.000 0.500

***

Arrangement Q

An optimized crystal structure of TaCrSN2, computed with PBE.

Values from the calculation:
space-group type: No. 123

Cell lengths 3.967, 3.967, 5.121 Å; angles 90.00, 90.00, 90.00 degrees
Atoms (fractional coordinates):
Ta 0.000 0.000 0.000
Cr 0.500 0.500 0.500
S 0.000 0.000 0.500
N 0.000 0.500 0.000
N 0.500 0.000 0.000

***

Which is most stable? The ranking, best first, is arrangement Q, arrangement P.

***

Arrangement P

An optimized crystal structure of CrTcSN2, computed with PBE.

Values from the calculation:
space-group type: No. 123

Cell lengths 3.708, 3.708, 5.499 Å; angles 90.00, 90.00, 90.00 degrees
Atoms (fractional coordinates):
Cr 0.000 0.000 0.000
Tc 0.000 0.000 0.500
S 0.500 0.500 0.000
N 0.000 0.500 0.500
N 0.500 0.000 0.500

***

Arrangement Q

An optimized crystal structure of CrTcSN2, computed with PBE.

Values from the calculation:
space-group type: No. 123

Cell lengths 3.639, 3.639, 4.897 Å; angles 90.00, 90.00, 90.00 degrees
Atoms (fractional coordinates):
Cr 0.000 0.000 0.000
Tc 0.500 0.500 0.500
S 0.000 0.000 0.500
N 0.000 0.500 0.000
N 0.500 0.000 0.000

***

Arrangement R

An optimized crystal structure of CrTcSN2, computed with PBE.

Values from the calculation:
space-group type: No. 123

Cell lengths 3.789, 3.789, 5.150 Å; angles 90.00, 90.00, 90.00 degrees
Atoms (fractional coordinates):
Cr 0.000 0.000 0.000
Tc 0.500 0.500 0.500
S 0.500 0.500 0.000
N 0.000 0.500 0.500
N 0.500 0.000 0.500

***

Which is most stable? The ranking, best first, is arrangement R, arrangement Q, arrangement P.

***

Arrangement P

An optimized crystal structure of CrTeSN2, computed with PBE.

Values from the calculation:
space-group type: No. 123

Cell lengths 3.817, 3.817, 4.977 Å; angles 90.00, 90.00, 90.00 degrees
Atoms (fractional coordinates):
Cr 0.000 0.000 0.000
Te 0.500 0.500 0.500
S 0.000 0.000 0.500
N 0.000 0.500 0.000
N 0.500 0.000 0.000

***

Arrangement Q

An optimized crystal structure of CrTeSN2, computed with PBE.

Values from the calculation:
space-group type: No. 123

Cell lengths 3.609, 3.609, 7.187 Å; angles 90.00, 90.00, 90.00 degrees
Atoms (fractional coordinates):
Cr 0.000 0.000 0.000
Te 0.500 0.500 0.000
S 0.500 0.500 0.500
N 0.000 0.500 0.500
N 0.500 0.000 0.500

***

Which is most stable? The ranking, best first, is arrangement P, arrangement Q.

***

Arrangement P

An optimized crystal structure of CrTeSN2, computed with PBE.

Values from the calculation:
space-group type: No. 123

Cell lengths 3.691, 3.691, 5.687 Å; angles 90.00, 90.00, 90.00 degrees
Atoms (fractional coordinates):
Cr 0.000 0.000 0.000
Te 0.000 0.000 0.500
S 0.500 0.500 0.500
N 0.000 0.500 0.000
N 0.500 0.000 0.000

***

Arrangement Q

An optimized crystal structure of CrTeSN2, computed with PBE.

Values from the calculation:
space-group type: No. 123

Cell lengths 3.898, 3.898, 5.549 Å; angles 90.00, 90.00, 90.00 degrees
Atoms (fractional coordinates):
Cr 0.000 0.000 0.000
Te 0.500 0.500 0.500
S 0.500 0.500 0.000
N 0.000 0.500 0.500
N 0.500 0.000 0.500

***

Which is most stable? The ranking, best first, is arrangement P, arrangement Q.

***

Arrangement P

An optimized crystal structure of CrTe2SN, computed with PBE.

Values from the calculation:
space-group type: No. 123

Cell lengths 5.565, 5.565, 3.345 Å; angles 90.00, 90.00, 90.00 degrees
Atoms (fractional coordinates):
Cr 0.000 0.000 0.000
Te 0.000 0.500 0.500
Te 0.500 0.000 0.500
S 0.500 0.500 0.500
N 0.500 0.500 0.000

***

Arrangement Q

An optimized crystal structure of CrTe2SN, computed with PBE.

Values from the calculation:
space-group type: No. 123

Cell lengths 5.192, 5.192, 3.533 Å; angles 90.00, 90.00, 90.00 degrees
Atoms (fractional coordinates):
Cr 0.000 0.000 0.000
Te 0.000 0.500 0.000
Te 0.500 0.000 0.000
S 0.500 0.500 0.500
N 0.000 0.000 0.500

***

Which is most stable? The ranking, best first, is arrangement Q, arrangement P.

***

Arrangement P

An optimized crystal structure of CrTeS2N, computed with PBE.

Values from the calculation:
space-group type: No. 123

Cell lengths 5.105, 5.105, 3.889 Å; angles 90.00, 90.00, 90.00 degrees
Atoms (fractional coordinates):
Cr 0.000 0.000 0.000
Te 0.500 0.500 0.500
S 0.000 0.500 0.500
S 0.500 0.000 0.500
N 0.500 0.500 0.000

***

Arrangement Q

An optimized crystal structure of CrTeS2N, computed with PBE.

Values from the calculation:
space-group type: No. 123

Cell lengths 4.757, 4.757, 3.574 Å; angles 90.00, 90.00, 90.00 degrees
Atoms (fractional coordinates):
Cr 0.000 0.000 0.000
Te 0.500 0.500 0.500
S 0.000 0.500 0.000
S 0.500 0.000 0.000
N 0.000 0.000 0.500

***

Which is most stable? The ranking, best first, is arrangement Q, arrangement P.